1.
! NdSbP2Rh5 (PBE, relaxed); values from VASP
! **Fermi-level density of states**: 0.3847 states/eV per atom
! **SG**: P4/mmm
! **Formation energy without anion corrections**: -0.73 eV per atom
&SYSTEM
  ibrav = 0, nat = 9, ntyp = 4
/
ATOMIC_SPECIES
Nd 144.24 Nd.upf
Sb 121.76 Sb.upf
P 30.97 P.upf
Rh 102.91 Rh.upf
CELL_PARAMETERS angstrom
4.0615 0.0000 0.0000
0.0000 4.0615 0.0000
0.0000 0.0000 10.1588
ATOMIC_POSITIONS angstrom
Nd 0.0000 0.0000 0.0000
Sb 0.0000 0.0000 5.0794
P 2.0308 2.0308 2.2645
P 2.0308 2.0308 7.8943
Rh 0.0000 2.0308 3.3306
Rh 0.0000 2.0308 6.8282
Rh 2.0308 0.0000 3.3306
Rh 2.0308 0.0000 6.8282
Rh 2.0308 2.0308 0.0000

2.
! Nd3SbP2Rh9 (PBE, relaxed); values from VASP
! **Fermi-level density of states**: 0.5922 states/eV per atom
! **SG**: P-3m1
! **Formation energy without anion corrections**: -0.65 eV per atom
&SYSTEM
  ibrav = 0, nat = 15, ntyp = 4
/
ATOMIC_SPECIES
Nd 144.24 Nd.upf
Sb 121.76 Sb.upf
P 30.97 P.upf
Rh 102.91 Rh.upf
CELL_PARAMETERS angstrom
6.1142 0.0000 0.0000
-3.0571 5.2950 0.0000
0.0000 0.0000 9.1825
ATOMIC_POSITIONS angstrom
Nd 0.0000 0.0000 0.0000
Nd 0.0000 3.5300 6.4066
Nd 3.0571 1.7650 2.7758
Sb 0.0000 0.0000 4.5912
P 0.0000 3.5300 1.4579
P 3.0571 1.7650 7.7246
Rh -1.5285 2.6475 0.0000
Rh 0.0000 1.6151 2.5255
Rh -1.6584 4.4875 2.5255
Rh 1.3987 0.8075 6.6570
Rh 3.0571 0.0000 0.0000
Rh 1.5285 2.6475 0.0000
Rh 1.6584 4.4875 2.5255
Rh 4.7155 0.8075 6.6570
Rh 3.0571 3.6800 6.6570

3.
! Nd6P2RhSe3 (PBE, relaxed); values from VASP
! **Fermi-level density of states**: 0.4985 states/eV per atom
! **SG**: C2/m
! **Formation energy without anion corrections**: -1.57 eV per atom
&SYSTEM
  ibrav = 0, nat = 12, ntyp = 4
/
ATOMIC_SPECIES
Nd 144.24 Nd.upf
P 30.97 P.upf
Rh 102.91 Rh.upf
Se 78.96 Se.upf
CELL_PARAMETERS angstrom
9.1939 -2.0837 0.0000
9.1939 2.0837 0.0000
-2.0512 0.0000 8.2664
ATOMIC_POSITIONS angstrom
Nd -0.4220 0.0000 1.9899
Nd 5.1722 0.0000 3.5218
Nd 4.3598 0.0000 7.4900
Nd 11.9767 0.0000 0.7764
Nd 11.1643 0.0000 4.7446
Nd 16.7585 0.0000 6.2764
P 2.3753 0.0000 2.7717
P 13.9612 0.0000 5.4947
Rh 9.1939 0.0000 0.0000
Se 1.3910 0.0000 6.8858
Se 8.1682 0.0000 4.1332
Se 14.9455 0.0000 1.3806

4.
! Nd8P3RhSe4 (PBE, relaxed); values from VASP
! **Fermi-level density of states**: 0.5109 states/eV per atom
! **SG**: R-3m
! **Formation energy without anion corrections**: -1.61 eV per atom
&SYSTEM
  ibrav = 0, nat = 16, ntyp = 4
/
ATOMIC_SPECIES
Nd 144.24 Nd.upf
P 30.97 P.upf
Rh 102.91 Rh.upf
Se 78.96 Se.upf
CELL_PARAMETERS angstrom
4.1915 2.4200 6.9428
-4.1915 2.4200 6.9428
0.0000 -4.8400 6.9428
ATOMIC_POSITIONS angstrom
Nd 0.0000 0.0000 5.0799
Nd -2.0868 -1.2048 12.0194
Nd 0.0000 -2.4097 8.8090
Nd -2.0868 1.2048 8.8090
Nd 2.0868 -1.2048 12.0194
Nd 0.0000 2.4097 12.0194
Nd 2.0868 1.2048 8.8090
Nd 0.0000 0.0000 15.7484
P -4.1915 0.0000 10.4142
P -2.0958 1.2100 3.4714
P 2.0958 1.2100 3.4714
Rh 0.0000 0.0000 10.4142
Se 0.0000 0.0000 0.0000
Se -2.0958 -1.2100 6.9428
Se -2.0958 1.2100 13.8856
Se 0.0000 2.4200 6.9428

5.
! NdSiPRh6 (PBE, relaxed); values from VASP
! **Fermi-level density of states**: 0.7405 states/eV per atom
! **SG**: Imma
! **Formation energy without anion corrections**: -0.31 eV per atom
&SYSTEM
  ibrav = 0, nat = 18, ntyp = 4
/
ATOMIC_SPECIES
Nd 144.24 Nd.upf
Si 28.09 Si.upf
P 30.97 P.upf
Rh 102.91 Rh.upf
CELL_PARAMETERS angstrom
-3.0563 4.5237 5.6631
3.0563 -4.5237 5.6631
3.0563 4.5237 -5.6631
ATOMIC_POSITIONS angstrom
Nd 0.0000 2.2619 2.0333
Nd 3.0563 2.2619 3.6298
Si 1.5282 2.2619 -2.8316
Si 1.5282 -2.2619 2.8316
P 3.0563 0.0000 0.0000
P 0.0000 0.0000 5.6631
Rh 1.4677 -0.1464 1.5013
Rh 4.6450 -0.1464 1.5013
Rh 3.0563 -2.2619 4.5777
Rh 3.0563 2.2619 0.7107
Rh 1.4677 4.3773 -1.5013
Rh 1.5886 -0.1464 4.1618
Rh 1.4677 4.6701 1.5013
Rh 1.5886 0.1464 7.1644
Rh 0.0000 2.2619 4.9524
Rh 0.0000 6.7856 1.0854
Rh -1.5886 4.6701 4.1618
Rh 1.5886 4.6701 4.1618

6.
! Nd2SnP3Rh12 (PBE, relaxed); values from VASP
! **Fermi-level density of states**: 0.6802 states/eV per atom
! **SG**: R-3m
! **ΔH_f (0 K)**: -0.24 eV/atom
&SYSTEM
  ibrav = 0, nat = 18, ntyp = 4
/
ATOMIC_SPECIES
Nd 144.24 Nd.upf
Sn 118.71 Sn.upf
P 30.97 P.upf
Rh 102.91 Rh.upf
CELL_PARAMETERS angstrom
4.1472 2.3944 5.5291
-4.1472 2.3944 5.5291
0.0000 -4.7888 5.5291
ATOMIC_POSITIONS angstrom
Nd 0.0000 0.0000 1.6668
Nd 0.0000 0.0000 14.9206
Sn 0.0000 0.0000 8.2937
P -2.0736 -1.1972 5.5291
P -2.0736 1.1972 11.0582
P 0.0000 2.3944 5.5291
Rh -2.1801 -1.2587 7.7511
Rh 0.0000 -2.0368 5.1236
Rh -1.7639 1.0184 5.1236
Rh 0.0000 -2.5174 8.8362
Rh -2.1801 1.2587 8.8362
Rh -1.7639 -1.0184 11.4638
Rh 1.7639 1.0184 5.1236
Rh 2.1801 -1.2587 7.7511
Rh 0.0000 2.5174 7.7511
Rh 1.7639 -1.0184 11.4638
Rh 0.0000 2.0368 11.4638
Rh 2.1801 1.2587 8.8362

7.
! NdSnP2Rh5 (PBE, relaxed); values from VASP
! **Fermi-level density of states**: 0.3266 states/eV per atom
! **SG**: P4/mmm
! **ΔH_f (0 K)**: -0.72 eV/atom
&SYSTEM
  ibrav = 0, nat = 9, ntyp = 4
/
ATOMIC_SPECIES
Nd 144.24 Nd.upf
Sn 118.71 Sn.upf
P 30.97 P.upf
Rh 102.91 Rh.upf
CELL_PARAMETERS angstrom
4.0842 0.0000 0.0000
0.0000 4.0842 0.0000
0.0000 0.0000 10.0750
ATOMIC_POSITIONS angstrom
Nd 0.0000 0.0000 0.0000
Sn 0.0000 0.0000 5.0375
P 2.0421 2.0421 2.2626
P 2.0421 2.0421 7.8124
Rh 0.0000 2.0421 3.2681
Rh 0.0000 2.0421 6.8069
Rh 2.0421 0.0000 3.2681
Rh 2.0421 0.0000 6.8069
Rh 2.0421 2.0421 0.0000

8.
! SrNdP2Rh5 (PBE, relaxed); values from VASP
! **Fermi-level density of states**: 0.5311 states/eV per atom
! **SG**: P4/mmm
! **ΔH_f (0 K)**: -0.83 eV/atom
&SYSTEM
  ibrav = 0, nat = 9, ntyp = 4
/
ATOMIC_SPECIES
Sr 87.62 Sr.upf
Nd 144.24 Nd.upf
P 30.97 P.upf
Rh 102.91 Rh.upf
CELL_PARAMETERS angstrom
4.1689 0.0000 0.0000
0.0000 4.1689 0.0000
0.0000 0.0000 9.2624
ATOMIC_POSITIONS angstrom
Sr 0.0000 0.0000 0.0000
Nd 0.0000 0.0000 4.6312
P 2.0844 2.0844 1.5422
P 2.0844 2.0844 7.7203
Rh 0.0000 2.0844 2.4728
Rh 0.0000 2.0844 6.7896
Rh 2.0844 0.0000 2.4728
Rh 2.0844 0.0000 6.7896
Rh 2.0844 2.0844 4.6312

9.
! NdTaP2Rh5 (PBE, relaxed); values from VASP
! **Fermi-level density of states**: 0.4982 states/eV per atom
! **SG**: P4/mmm
! **ΔH_f (0 K)**: -0.45 eV/atom
&SYSTEM
  ibrav = 0, nat = 9, ntyp = 4
/
ATOMIC_SPECIES
Nd 144.24 Nd.upf
Ta 180.95 Ta.upf
P 30.97 P.upf
Rh 102.91 Rh.upf
CELL_PARAMETERS angstrom
4.0579 0.0000 0.0000
0.0000 4.0579 0.0000
0.0000 0.0000 10.1771
ATOMIC_POSITIONS angstrom
Nd 0.0000 0.0000 0.0000
Ta 2.0290 2.0290 5.0885
P 2.0290 2.0290 2.2399
P 2.0290 2.0290 7.9372
Rh 0.0000 2.0290 3.3861
Rh 0.0000 2.0290 6.7910
Rh 2.0290 0.0000 3.3861
Rh 2.0290 0.0000 6.7910
Rh 2.0290 2.0290 0.0000

10.
! TbNdP2Rh5 (PBE, relaxed); values from VASP
! **Fermi-level density of states**: 0.4546 states/eV per atom
! **SG**: P4/mmm
! **ΔH_f (0 K)**: -0.76 eV/atom
&SYSTEM
  ibrav = 0, nat = 9, ntyp = 4
/
ATOMIC_SPECIES
Tb 158.93 Tb.upf
Nd 144.24 Nd.upf
P 30.97 P.upf
Rh 102.91 Rh.upf
CELL_PARAMETERS angstrom
4.0639 0.0000 0.0000
0.0000 4.0639 0.0000
0.0000 0.0000 10.7138
ATOMIC_POSITIONS angstrom
Tb 0.0000 0.0000 0.0000
Nd 0.0000 0.0000 5.3569
P 2.0320 2.0320 3.0868
P 2.0320 2.0320 7.6270
Rh 0.0000 2.0320 2.1026
Rh 0.0000 2.0320 8.6112
Rh 2.0320 0.0000 2.1026
Rh 2.0320 0.0000 8.6112
Rh 2.0320 2.0320 5.3569

11.
! TbNd2P3Rh12 (PBE, relaxed); values from VASP
! **Fermi-level density of states**: 1.0448 states/eV per atom
! **SG**: R-3m
! **ΔH_f (0 K)**: -0.34 eV/atom
&SYSTEM
  ibrav = 0, nat = 18, ntyp = 4
/
ATOMIC_SPECIES
Tb 158.93 Tb.upf
Nd 144.24 Nd.upf
P 30.97 P.upf
Rh 102.91 Rh.upf
CELL_PARAMETERS angstrom
4.5227 2.6112 4.2952
-4.5227 2.6112 4.2952
0.0000 -5.2223 4.2952
ATOMIC_POSITIONS angstrom
Tb 0.0000 0.0000 0.0000
Nd 0.0000 0.0000 4.8066
Nd 0.0000 0.0000 8.0791
P -4.5227 0.0000 6.4429
P -2.2613 1.3056 2.1476
P 2.2613 1.3056 2.1476
Rh -2.4698 -1.4259 5.8318
Rh 0.0000 -2.5446 4.3786
Rh -2.2037 1.2723 4.3786
Rh -2.2037 -1.2723 8.5071
Rh 0.0000 -2.8519 7.0539
Rh -2.4698 1.4259 7.0539
Rh 2.4698 -1.4259 5.8318
Rh 0.0000 2.8519 5.8318
Rh 2.2037 1.2723 4.3786
Rh 2.2037 -1.2723 8.5071
Rh 0.0000 2.5446 8.5071
Rh 2.4698 1.4259 7.0539

12.
! Nd3TeP2Rh9 (PBE, relaxed); values from VASP
! **Fermi-level density of states**: 0.5538 states/eV per atom
! **SG**: P-3m1
! **Formation energy without anion corrections**: -0.64 eV per atom
&SYSTEM
  ibrav = 0, nat = 15, ntyp = 4
/
ATOMIC_SPECIES
Nd 144.24 Nd.upf
Te 127.60 Te.upf
P 30.97 P.upf
Rh 102.91 Rh.upf
CELL_PARAMETERS angstrom
6.1141 0.0000 0.0000
-3.0570 5.2950 0.0000
0.0000 0.0000 9.1785
ATOMIC_POSITIONS angstrom
Nd 0.0000 0.0000 0.0000
Nd 0.0000 3.5300 6.4258
Nd 3.0570 1.7650 2.7526
Te 0.0000 0.0000 4.5892
P 0.0000 3.5300 1.4566
P 3.0570 1.7650 7.7219
Rh -1.5285 2.6475 0.0000
Rh 0.0000 1.6230 2.5427
Rh -1.6515 4.4834 2.5427
Rh 1.4056 0.8115 6.6357
Rh 3.0570 0.0000 0.0000
Rh 1.5285 2.6475 0.0000
Rh 1.6515 4.4834 2.5427
Rh 4.7085 0.8115 6.6357
Rh 3.0570 3.6719 6.6357

13.
! NdThP2Rh5 (PBE, relaxed); values from VASP
! **Fermi-level density of states**: 0.3098 states/eV per atom
! **SG**: P4/mmm
! **ΔH_f (0 K)**: -0.85 eV/atom
&SYSTEM
  ibrav = 0, nat = 9, ntyp = 4
/
ATOMIC_SPECIES
Nd 144.24 Nd.upf
Th 232.04 Th.upf
P 30.97 P.upf
Rh 102.91 Rh.upf
CELL_PARAMETERS angstrom
4.0864 0.0000 0.0000
0.0000 4.0864 0.0000
0.0000 0.0000 10.7564
ATOMIC_POSITIONS angstrom
Nd 0.0000 0.0000 0.0000
Th 0.0000 0.0000 5.3782
P 2.0432 2.0432 2.2693
P 2.0432 2.0432 8.4871
Rh 0.0000 2.0432 3.2757
Rh 0.0000 2.0432 7.4806
Rh 2.0432 0.0000 3.2757
Rh 2.0432 0.0000 7.4806
Rh 2.0432 2.0432 0.0000

14.
! Nd2ThP3Rh12 (PBE, relaxed); values from VASP
! **Fermi-level density of states**: 0.8609 states/eV per atom
! **SG**: R-3m
! **ΔH_f (0 K)**: -0.35 eV/atom
&SYSTEM
  ibrav = 0, nat = 18, ntyp = 4
/
ATOMIC_SPECIES
Nd 144.24 Nd.upf
Th 232.04 Th.upf
P 30.97 P.upf
Rh 102.91 Rh.upf
CELL_PARAMETERS angstrom
4.2591 2.4590 5.1940
-4.2591 2.4590 5.1940
0.0000 -4.9180 5.1940
ATOMIC_POSITIONS angstrom
Nd 0.0000 0.0000 1.5711
Nd 0.0000 0.0000 14.0110
Th 0.0000 0.0000 7.7911
P -2.1296 -1.2295 5.1940
P -2.1296 1.2295 10.3881
P 0.0000 2.4590 5.1940
Rh -2.2861 -1.3199 7.4147
Rh 0.0000 -2.0649 4.8408
Rh -1.7882 1.0324 4.8408
Rh 0.0000 -2.6398 8.1674
Rh -2.2861 1.3199 8.1674
Rh -1.7882 -1.0324 10.7414
Rh 1.7882 1.0324 4.8408
Rh 2.2861 -1.3199 7.4147
Rh 0.0000 2.6398 7.4147
Rh 1.7882 -1.0324 10.7414
Rh 0.0000 2.0649 10.7414
Rh 2.2861 1.3199 8.1674

15.
! Nd2TiP3Rh12 (PBE, relaxed); values from VASP
! **Fermi-level density of states**: 0.9790 states/eV per atom
! **SG**: R-3m
! **ΔH_f (0 K)**: -0.29 eV/atom
&SYSTEM
  ibrav = 0, nat = 18, ntyp = 4
/
ATOMIC_SPECIES
Nd 144.24 Nd.upf
Ti 47.87 Ti.upf
P 30.97 P.upf
Rh 102.91 Rh.upf
CELL_PARAMETERS angstrom
4.2167 2.4345 5.1743
-4.2167 2.4345 5.1743
0.0000 -4.8691 5.1743
ATOMIC_POSITIONS angstrom
Nd 0.0000 0.0000 1.6441
Nd 0.0000 0.0000 13.8788
Ti 0.0000 0.0000 7.7614
P -2.1084 -1.2173 5.1743
P -2.1084 1.2173 10.3486
P 0.0000 2.4345 5.1743
Rh -2.1351 -1.2327 7.3701
Rh 0.0000 -2.0402 4.8278
Rh -1.7669 1.0201 4.8278
Rh 0.0000 -2.4654 8.1528
Rh -2.1351 1.2327 8.1528
Rh -1.7669 -1.0201 10.6951
Rh 1.7669 1.0201 4.8278
Rh 2.1351 -1.2327 7.3701
Rh 0.0000 2.4654 7.3701
Rh 1.7669 -1.0201 10.6951
Rh 0.0000 2.0402 10.6951
Rh 2.1351 1.2327 8.1528

16.
! Nd2TiP3Rh4 (PBE, relaxed); values from VASP
! **Fermi-level density of states**: 0.5573 states/eV per atom
! **SG**: P-4m2
! **ΔH_f (0 K)**: -1.07 eV/atom
&SYSTEM
  ibrav = 0, nat = 10, ntyp = 4
/
ATOMIC_SPECIES
Nd 144.24 Nd.upf
Ti 47.87 Ti.upf
P 30.97 P.upf
Rh 102.91 Rh.upf
CELL_PARAMETERS angstrom
4.0411 0.0000 0.0000
0.0000 4.0411 0.0000
0.0000 0.0000 10.4658
ATOMIC_POSITIONS angstrom
Nd 0.0000 2.0206 2.4803
Nd 2.0206 0.0000 7.9856
Ti 0.0000 0.0000 5.2329
P 0.0000 2.0206 9.0523
P 2.0206 0.0000 1.4135
P 2.0206 2.0206 5.2329
Rh 0.0000 0.0000 0.0000
Rh 0.0000 2.0206 6.6757
Rh 2.0206 0.0000 3.7902
Rh 2.0206 2.0206 0.0000

17.
! Nd2TmP3Rh12 (PBE, relaxed); values from VASP
! **Fermi-level density of states**: 1.0471 states/eV per atom
! **SG**: R-3m
! **ΔH_f (0 K)**: -0.34 eV/atom
&SYSTEM
  ibrav = 0, nat = 18, ntyp = 4
/
ATOMIC_SPECIES
Nd 144.24 Nd.upf
Tm 168.93 Tm.upf
P 30.97 P.upf
Rh 102.91 Rh.upf
CELL_PARAMETERS angstrom
4.5076 2.6025 4.3003
-4.5076 2.6025 4.3003
0.0000 -5.2049 4.3003
ATOMIC_POSITIONS angstrom
Nd 0.0000 0.0000 1.6322
Nd 0.0000 0.0000 11.2688
Tm 0.0000 0.0000 6.4505
P -2.2538 -1.3012 4.3003
P -2.2538 1.3012 8.6007
P 0.0000 2.6025 4.3003
Rh 0.0000 -2.3590 3.6932
Rh -2.0430 1.1795 3.6932
Rh -2.3001 -1.3280 6.5322
Rh 0.0000 -2.6559 6.3688
Rh -2.3001 1.3280 6.3688
Rh -2.0430 -1.1795 9.2078
Rh 2.0430 1.1795 3.6932
Rh 2.3001 -1.3280 6.5322
Rh 0.0000 2.6560 6.5322
Rh 2.3001 1.3280 6.3688
Rh 2.0430 -1.1795 9.2078
Rh 0.0000 2.3590 9.2078

18.
! NdTmP2Rh5 (PBE, relaxed); values from VASP
! **Fermi-level density of states**: 0.4522 states/eV per atom
! **SG**: P4/mmm
! **ΔH_f (0 K)**: -0.77 eV/atom
&SYSTEM
  ibrav = 0, nat = 9, ntyp = 4
/
ATOMIC_SPECIES
Nd 144.24 Nd.upf
Tm 168.93 Tm.upf
P 30.97 P.upf
Rh 102.91 Rh.upf
CELL_PARAMETERS angstrom
4.0647 0.0000 0.0000
0.0000 4.0647 0.0000
0.0000 0.0000 10.5721
ATOMIC_POSITIONS angstrom
Nd 0.0000 0.0000 0.0000
Tm 0.0000 0.0000 5.2861
P 2.0323 2.0323 2.2709
P 2.0323 2.0323 8.3012
Rh 0.0000 2.0323 3.2542
Rh 0.0000 2.0323 7.3180
Rh 2.0323 0.0000 3.2542
Rh 2.0323 0.0000 7.3180
Rh 2.0323 2.0323 0.0000

19.
! Nd2UP3Rh12 (PBE, relaxed); values from VASP
! **Fermi-level density of states**: 0.7643 states/eV per atom
! **SG**: R-3m
! **ΔH_f (0 K)**: -0.37 eV/atom
&SYSTEM
  ibrav = 0, nat = 18, ntyp = 4
/
ATOMIC_SPECIES
Nd 144.24 Nd.upf
U 238.03 U.upf
P 30.97 P.upf
Rh 102.91 Rh.upf
CELL_PARAMETERS angstrom
4.1114 2.3737 5.6951
-4.1114 2.3737 5.6951
0.0000 -4.7475 5.6951
ATOMIC_POSITIONS angstrom
Nd 0.0000 0.0000 1.6995
Nd 0.0000 0.0000 15.3860
U 0.0000 0.0000 8.5427
P -2.0557 -1.1869 5.6951
P -2.0557 1.1869 11.3903
P 0.0000 2.3737 5.6951
Rh -2.1227 -1.2255 7.9540
Rh 0.0000 -2.0276 5.2485
Rh -1.7560 1.0138 5.2485
Rh 0.0000 -2.4511 9.1314
Rh -2.1227 1.2255 9.1314
Rh -1.7560 -1.0138 11.8369
Rh 1.7560 1.0138 5.2486
Rh 2.1227 -1.2255 7.9540
Rh 0.0000 2.4510 7.9540
Rh 1.7560 -1.0138 11.8369
Rh 0.0000 2.0276 11.8369
Rh 2.1227 1.2255 9.1314

Summary of magnetization in μB per formula unit
0.00; 0.00; 0.00; 0.00; 0.00; 0.00; 0.00; 0.00; 0.00; 0.00; 0.00; 0.00; 0.00; 0.00; 0.00; 0.00; 0.00; 0.00; 0.00
(order as listed above)